No. 1
ReBiAu: relaxed, PBE.

Results
The total energy comes out at -15.754 eV per cell.

The structure in extended XYZ format:
```
3
Lattice="0.0000 3.3129 3.3129 3.3129 0.0000 3.3129 3.3129 3.3129 0.0000" Properties=species:S:1:pos:R:3 pbc="T T T"
Re 4.9693 4.9693 4.9693
Bi 1.6564 1.6564 1.6564
Au 0.0000 0.0000 0.0000
```



No. 2
LuCoGeIr: relaxed, PBE.

Results
Its offset from the most stable computed form is 0 meV per atom.

The structure in extended XYZ format:
```
4
Lattice="-3.6916 0.4772 2.4558 -3.9490 0.5572 -1.9955 -3.0375 -3.2630 0.1170" Properties=species:S:1:pos:R:3 pbc="T T T"
Ir -2.6695 -0.5572 0.1443
Lu -5.3390 -1.1143 0.2886
Ge 0.0000 0.0000 0.0000
Co -8.0086 -1.6715 0.4329
```



No. 3
ZrGe2S: relaxed, PBE.

Results
The total energy comes out at -47.245 eV per cell.

The structure in extended XYZ format:
```
8
Lattice="3.8792 0.0000 0.0000 0.0000 5.7036 0.0000 0.0000 0.0000 7.3038" Properties=species:S:1:pos:R:3 pbc="T T T"
Ge 0.0000 3.3520 6.4685
Zr 1.9396 4.8887 4.6806
S 0.0000 4.7947 2.9761
Ge 1.9396 2.3517 2.8166
Zr 0.0000 0.8150 1.0287
Ge 1.9396 4.3623 0.4824
Ge 0.0000 1.3413 4.1344
S 1.9396 0.9089 6.6280
```



No. 4
ZrInCuTe3: relaxed, PBE.

Results
The total energy comes out at -110.240 eV per cell.

The structure in extended XYZ format:
```
24
Lattice="15.3564 0.0000 0.0000 0.0000 4.0867 0.0000 0.0000 0.0000 11.0206" Properties=species:S:1:pos:R:3 pbc="T T T"
Cu 0.1543 1.0217 1.0499
Te 9.2185 1.0217 6.7825
Cu 7.5240 3.0650 6.5602
Te 13.8871 1.0217 4.8020
In 4.0380 1.0217 5.9436
Te 1.5402 1.0217 9.7484
In 11.3185 3.0650 5.0770
Zr 7.4546 1.0217 8.9938
Cu 7.8325 1.0217 4.4604
Te 6.1380 3.0650 4.2381
Zr 0.2236 3.0650 3.4835
Zr 7.9018 3.0650 2.0268
Te 13.1745 3.0650 8.2716
Te 6.2089 1.0217 0.7083
Te 1.4694 3.0650 6.2186
In 3.6402 3.0650 0.4333
Cu 15.2022 3.0650 9.9707
Zr 15.1328 1.0217 7.5371
Te 9.8601 1.0217 2.7613
Te 9.1476 3.0650 10.3123
Te 13.8162 3.0650 1.2722
Te 2.1819 1.0217 2.7490
In 11.7162 1.0217 10.5873
Te 5.4963 3.0650 8.2593
```



No. 5
CoAgPdPb: relaxed, PBE.

Results
Its offset from the most stable computed form is 0 meV per atom.

The structure in extended XYZ format:
```
4
Lattice="0.0000 3.2434 3.2434 3.2434 0.0000 3.2434 3.2434 3.2434 0.0000" Properties=species:S:1:pos:R:3 pbc="T T T"
Pb 0.0000 0.0000 0.0000
Ag 3.2434 3.2434 3.2434
Pd 1.6217 1.6217 1.6217
Co 4.8651 4.8651 4.8651
```



No. 6
Ga5CuMo2: relaxed, PBE.

Results
Its offset from the most stable computed form is 0 meV per atom.

The structure in extended XYZ format:
```
8
Lattice="-0.2112 -3.6578 0.3221 3.5258 -0.1119 1.0414 -2.4331 0.8742 8.3314" Properties=species:S:1:pos:R:3 pbc="T T T"
Ga 0.4407 -1.4477 4.8475
Mo -1.9002 -1.1841 6.3062
Ga -0.6455 -1.6349 2.0098
Cu 0.0000 0.0000 0.0000
Ga 1.6573 -1.8848 0.6818
Ga -1.2166 0.4371 4.1657
Ga -0.1303 0.6243 7.0034
Mo 1.1244 0.1735 2.7070
```



No. 7
BPdW: relaxed, PBE.

Results
Its offset from the most stable computed form is 38 meV per atom.

The structure in extended XYZ format:
```
3
Lattice="1.5455 -3.1054 1.9651 -0.4411 -0.2775 3.9524 -2.4056 -2.7772 1.5471" Properties=species:S:1:pos:R:3 pbc="T T T"
Pd 0.0000 0.0000 0.0000
B -0.3253 -1.5400 1.8662
W -0.9759 -4.6200 5.5984
```



No. 8
Dy2HoSn3Pd2Pt: relaxed, PBE.

Results
The total energy comes out at -51.036 eV per cell.

The structure in extended XYZ format:
```
9
Lattice="-3.6826 1.4215 0.1361 -0.7553 -2.6327 7.0634 2.6582 6.9978 -1.1650" Properties=species:S:1:pos:R:3 pbc="T T T"
Ho 1.1397 2.6145 3.5328
Sn 0.2589 5.7639 4.1173
Dy 1.0670 2.8089 -0.4676
Sn -1.3434 1.8529 1.6113
Dy -0.3032 -1.0567 2.8352
Pd -1.4565 1.2944 4.3856
Sn -0.6342 3.2442 6.2701
Pt 1.9019 4.3627 5.8951
Pd -0.3223 4.4943 1.6516
```



No. 9
PrFe3: relaxed, PBE.

Results
As for the formation enthalpy at 0 K: 0.516 eV/atom.

The structure in extended XYZ format:
```
4
Lattice="3.0027 3.7166 1.8968 -2.4282 3.6714 2.6554 0.0468 -5.1404 0.0292" Properties=species:S:1:pos:R:3 pbc="T T T"
Fe 1.6684 1.1351 2.1010
Fe 0.2872 3.6940 2.2761
Pr 0.0000 0.0000 0.0000
Fe -1.0471 1.1125 2.4803
```



No. 10
ThZn: relaxed, PBE.

Results
As for the formation enthalpy at 0 K: 0.079 eV/atom.

The structure in extended XYZ format:
```
4
Lattice="-0.8949 0.0321 5.1192 -2.6306 -2.3024 -0.4454 3.6179 -4.2612 0.6591" Properties=species:S:1:pos:R:3 pbc="T T T"
Zn -0.0187 0.0007 0.1067
Th 1.5352 -2.1208 1.8959
Zn -0.2334 -3.2557 4.2662
Th -1.7872 -1.1343 2.4770
```



No. 11
NbCl: relaxed, PBE.

Results
The total energy comes out at -10.471 eV per cell.

The structure in extended XYZ format:
```
2
Lattice="0.0000 2.5678 2.5678 2.5678 0.0000 2.5678 2.5678 2.5678 0.0000" Properties=species:S:1:pos:R:3 pbc="T T T"
Cl 0.0000 0.0000 0.0000
Nb 2.5678 2.5678 2.5678
```



No. 12
B4MoOs: relaxed, PBE.

Results
The total energy comes out at -48.091 eV per cell.

The structure in extended XYZ format:
```
6
Lattice="2.9995 1.0446 3.2926 -2.6655 -0.6731 3.6567 1.9905 -2.2202 -3.4696" Properties=species:S:1:pos:R:3 pbc="T T T"
B 1.7385 -0.2950 1.7105
Mo 0.0000 0.0000 0.0000
B 3.4214 -0.6915 1.6509
B -1.0970 -1.1572 1.8289
B 0.5859 -1.5537 1.7692
Os 0.1670 0.1858 3.4747
```